This record from the Alexandria database describes Ca2PbW after structural relaxation. The functional is PBE.

Formation energy from the elements ... 222.3 kJ/mol of formula units
D(E_F) ... 2.9 states/eV/cell
Calculated volume ... 106.1 Å³/cell

Structure (POSCAR):
```
Ca2PbW
1.0
-2.607 -1.968 -5.194
-5.231 -3.143 0.639
2.634 5.383 1.314
W Ca Pb
1 2 1
direct
0.277 0.777 0.500 W
0.733 0.233 0.500 Ca
0.016 0.016 0.000 Ca
0.474 0.474 0.000 Pb
```


This record from the Alexandria database describes Zr4PdPt12 after structural relaxation. The functional is PBE.

Formation energy from the elements ... -1125.1 kJ/mol of formula units
D(E_F) ... 4.9 states/eV/cell
Calculated volume ... 295.6 Å³/cell

Structure (POSCAR):
```
Zr4PdPt12
1.0
6.853 0.000 -2.423
-3.427 5.935 -2.423
0.000 0.000 7.269
Pt Zr Pd
12 4 1
direct
0.703 0.703 0.000 Pt
0.500 0.750 0.250 Pt
0.750 0.250 0.500 Pt
0.250 0.750 0.500 Pt
0.297 0.297 0.000 Pt
0.750 0.500 0.250 Pt
0.500 0.250 0.750 Pt
0.250 0.500 0.750 Pt
0.000 0.297 0.297 Pt
0.703 0.000 0.703 Pt
0.297 0.000 0.297 Pt
0.000 0.703 0.703 Pt
0.000 0.000 0.500 Zr
0.000 0.500 0.000 Zr
0.500 0.000 0.000 Zr
0.500 0.500 0.500 Zr
0.000 0.000 0.000 Pd
```